(1)
First-principles (PBE) data for an optimized crystal structure of ZrNb2BrN, as listed in the Alexandria database.

Geometry as POSCAR:
```
ZrNb2BrN
1.0
-4.661 -1.362 0.707
0.907 -3.718 -1.181
1.058 -1.214 4.636
N Zr Nb Br
1 1 2 1
Cartesian
0.453 -1.859 -0.590
-1.348 -3.147 2.081
0.529 -0.607 2.318
-2.331 -0.681 0.354
0.000 0.000 0.000
```

**Density**: 6.387 g/cm3
**E_form (uncorrected)**: 1.498 eV per atom
**Electronic total energy**: -6.239 eV/atom
**DOS at the Fermi energy**: 2.0 states/eV per cell

---

(2)
First-principles (PBE) data for an optimized crystal structure of PmLuMgIr, as listed in the Alexandria database.

Geometry as POSCAR:
```
PmLuMgIr
1.0
5.044 0.000 0.000
2.522 4.368 0.000
2.522 1.456 4.118
Pm Mg Lu Ir
1 1 1 1
Cartesian
2.522 1.456 1.030
5.044 2.912 2.059
7.565 4.368 3.089
0.000 0.000 0.000
```

**Density**: 9.820 g/cm3
**Electronic total energy**: -5.351 eV/atom
**DOS at the Fermi energy**: 2.4 states/eV per cell

---

(3)
First-principles (PBE) data for an optimized crystal structure of Ta2NbMo6W3, as listed in the Alexandria database.

Geometry as POSCAR:
```
Ta2NbMo6W3
1.0
-6.577 4.246 0.444
-0.396 -7.747 -1.149
2.233 0.634 3.888
Mo W Nb Ta
6 3 1 2
Cartesian
-2.214 1.281 1.061
-4.585 -0.152 2.652
-4.673 -2.468 0.444
-0.155 -2.713 0.530
-2.526 -4.147 2.122
-0.067 -0.398 2.738
-2.370 -1.433 1.591
-4.427 2.557 2.121
-0.313 -5.423 1.061
0.000 0.000 0.000
-4.515 0.246 -0.088
-2.457 -3.747 -0.618
```

**Density**: 13.370 g/cm3
**Electronic total energy**: -11.609 eV/atom
**DOS at the Fermi energy**: 6.0 states/eV per cell

---

Number 2 is which compound?
PmLuMgIr

---

The highest DOS at the Fermi energy belongs to which entry?
Ta2NbMo6W3

---

DOS at the Fermi energy of number 3 (Ta2NbMo6W3)?
6.0 states/eV per cell

---

Repeat the first record exactly.
First-principles (PBE) data for an optimized crystal structure of ZrNb2BrN, as listed in the Alexandria database.

Geometry as POSCAR:
```
ZrNb2BrN
1.0
-4.661 -1.362 0.707
0.907 -3.718 -1.181
1.058 -1.214 4.636
N Zr Nb Br
1 1 2 1
Cartesian
0.453 -1.859 -0.590
-1.348 -3.147 2.081
0.529 -0.607 2.318
-2.331 -0.681 0.354
0.000 0.000 0.000
```

**Density**: 6.387 g/cm3
**E_form (uncorrected)**: 1.498 eV per atom
**Electronic total energy**: -6.239 eV/atom
**DOS at the Fermi energy**: 2.0 states/eV per cell